DFT (PBE) results for an optimized crystal structure of Sc4ZnIr.

Electronic total energy: -6.356 eV per atom
SG: No. 8
DFT formation energy: -0.4459 eV/atom
Fermi-level density of states: 8.66 states/eV per cell

Lattice parameters (Å, degrees): 3.500 5.783 6.953 97.64 104.57 107.62
Atoms (fractional coordinates):
Sc: 0.650 0.249 0.802
Sc: 0.536 0.684 0.138
Sc: 0.974 0.303 0.395
Sc: 0.837 0.755 0.670
Zn: 0.201 0.085 0.068
Ir: 0.301 0.924 0.428


DFT (PBE) results for an optimized crystal structure of TmVFe2.

Electronic total energy: -7.617 eV per atom
SG: No. 123
DFT formation energy: 0.0119 eV/atom
Fermi-level density of states: 2.50 states/eV per cell

Lattice parameters (Å, degrees): 2.980 2.980 6.488 90.00 90.00 90.00
Site moments in Bohr magnetons follow the coordinates.
Atoms (fractional coordinates):
Tm: 0.500 0.500 0.500  -0.11
Fe: 0.000 0.000 0.796  0.38
Fe: 0.000 0.000 0.204  0.38
V: 0.500 0.500 0.000  -0.23


DFT (PBE) results for an optimized crystal structure of BaAlCd2F.

Electronic total energy: -2.585 eV per atom
SG: No. 123
Formation energy from raw total energies: -712 meV per atom
Fermi-level density of states: 2.56 states/eV per cell

Lattice parameters (Å, degrees): 5.349 5.019 5.349 90.00 90.00 90.00
Atoms (fractional coordinates):
F: 0.000 0.000 0.000
Al: 0.500 0.500 0.500
Ba: 0.000 0.500 0.000
Cd: 0.000 0.000 0.500
Cd: 0.500 0.000 0.000


DFT (PBE) results for an optimized crystal structure of Ba2SrCd3.

Electronic total energy: -1.704 eV per atom
SG: No. 123
DFT formation energy: -0.3248 eV/atom
Fermi-level density of states: 3.87 states/eV per cell

Lattice parameters (Å, degrees): 4.201 4.201 12.524 90.00 90.00 90.00
Atoms (fractional coordinates):
Ba: 0.500 0.500 0.827
Ba: 0.500 0.500 0.173
Sr: 0.500 0.500 0.500
Cd: 0.000 0.000 0.000
Cd: 0.000 0.000 0.653
Cd: 0.000 0.000 0.347


DFT (PBE) results for an optimized crystal structure of NbGa.

Electronic total energy: -6.378 eV per atom
SG: No. 176
DFT formation energy: 0.1703 eV/atom
Fermi-level density of states: 9.78 states/eV per cell

Lattice parameters (Å, degrees): 7.337 7.337 4.818 90.00 90.00 120.00
Atoms (fractional coordinates):
Nb: 0.078 0.459 0.250
Nb: 0.619 0.078 0.750
Nb: 0.541 0.619 0.250
Nb: 0.922 0.541 0.750
Nb: 0.381 0.922 0.250
Nb: 0.459 0.381 0.750
Ga: 0.804 0.046 0.250
Ga: 0.758 0.804 0.750
Ga: 0.954 0.758 0.250
Ga: 0.196 0.954 0.750
Ga: 0.242 0.196 0.250
Ga: 0.046 0.242 0.750


DFT (PBE) results for an optimized crystal structure of BaTlTeI2.

Electronic total energy: -2.876 eV per atom
SG: No. 123
Formation energy from raw total energies: -770 meV per atom
Fermi-level density of states: 0.38 states/eV per cell

Lattice parameters (Å, degrees): 6.228 6.228 5.810 90.00 90.00 90.00
Atoms (fractional coordinates):
I: 0.000 0.500 0.000
I: 0.500 0.000 0.000
Tl: 0.000 0.000 0.000
Te: 0.000 0.000 0.500
Ba: 0.500 0.500 0.500


DFT (PBE) results for an optimized crystal structure of SrGdIr.

Electronic total energy: -8.579 eV per atom
SG: No. 107
DFT formation energy: -0.3707 eV/atom
Fermi-level density of states: 1.68 states/eV per cell

Lattice parameters (Å, degrees): 3.571 3.571 7.323 104.11 104.11 90.00
Site moments in Bohr magnetons follow the coordinates.
Atoms (fractional coordinates):
Gd: 0.283 0.283 0.567  7.01
Sr: 0.035 0.035 0.069  0.01
Ir: 0.682 0.682 0.364  -0.10


DFT (PBE) results for an optimized crystal structure of Be2VCrIn.

Electronic total energy: -4.004 eV per atom
SG: No. 123
DFT formation energy: 1.7828 eV/atom
Fermi-level density of states: 6.18 states/eV per cell

Lattice parameters (Å, degrees): 4.226 4.823 4.226 90.00 90.00 90.00
Site moments in Bohr magnetons follow the coordinates.
Atoms (fractional coordinates):
Cr: 0.000 0.500 0.000  -0.15
V: 0.500 0.500 0.500  -0.18
Be: 0.000 0.000 0.500  0.00
Be: 0.500 0.000 0.000  0.00
In: 0.000 0.000 0.000  0.01


DFT (PBE) results for an optimized crystal structure of Sm3Cd9Ag2.

Electronic total energy: -2.247 eV per atom
SG: No. 71
DFT formation energy: -0.2399 eV/atom
Fermi-level density of states: 8.56 states/eV per cell

Lattice parameters (Å, degrees): 4.858 8.716 8.716 74.31 73.82 73.82
Atoms (fractional coordinates):
Sm: 0.000 0.000 0.000
Sm: 0.710 0.290 0.290
Sm: 0.290 0.710 0.710
Cd: 0.000 0.500 0.500
Cd: 0.639 0.994 0.727
Cd: 0.361 0.006 0.273
Cd: 0.639 0.727 0.994
Cd: 0.361 0.273 0.006
Cd: 0.858 0.863 0.421
Cd: 0.142 0.137 0.579
Cd: 0.858 0.421 0.863
Cd: 0.142 0.579 0.137
Ag: 0.500 0.347 0.653
Ag: 0.500 0.653 0.347


DFT (PBE) results for an optimized crystal structure of KB.

Electronic total energy: -1.805 eV per atom
SG: No. 225
DFT formation energy: 2.0821 eV/atom
Fermi-level density of states: 1.63 states/eV per cell

Lattice parameters (Å, degrees): 4.457 4.457 4.457 60.00 60.00 60.00
Atoms (fractional coordinates):
K: 0.000 0.000 0.000
B: 0.500 0.500 0.500


DFT (PBE) results for an optimized crystal structure of NbGaFe2C.

Electronic total energy: -7.949 eV per atom
SG: No. 123
DFT formation energy: -0.1000 eV/atom
Fermi-level density of states: 3.97 states/eV per cell

Lattice parameters (Å, degrees): 3.855 3.855 4.347 90.00 90.00 90.00
Site moments in Bohr magnetons follow the coordinates.
Atoms (fractional coordinates):
C: 0.000 0.000 0.000  -0.05
Nb: 0.000 0.000 0.500  0.25
Fe: 0.000 0.500 0.000  2.30
Fe: 0.500 0.000 0.000  2.30
Ga: 0.500 0.500 0.500  0.00


DFT (PBE) results for an optimized crystal structure of CdPdBr.

Electronic total energy: -2.727 eV per atom
SG: No. 38
Formation energy from raw total energies: -133 meV per atom
Fermi-level density of states: 1.70 states/eV per cell

Lattice parameters (Å, degrees): 3.944 3.951 10.243 90.00 90.00 119.94
Atoms (fractional coordinates):
Cd: 0.443 0.887 0.000
Cd: 0.446 0.892 0.500
Pd: 0.779 0.558 0.355
Pd: 0.779 0.558 0.645
Br: 0.110 0.220 0.815
Br: 0.110 0.220 0.185


DFT (PBE) results for an optimized crystal structure of MgZn2Hg.

Electronic total energy: -1.135 eV per atom
SG: No. 47
DFT formation energy: -0.0240 eV/atom
Fermi-level density of states: 1.14 states/eV per cell

Lattice parameters (Å, degrees): 4.639 3.227 5.216 89.99 90.00 90.00
Atoms (fractional coordinates):
Mg: 0.500 0.750 0.750
Zn: 0.000 0.251 0.987
Zn: 0.000 0.249 0.513
Hg: 0.500 0.250 0.250


DFT (PBE) results for an optimized crystal structure of RbHoS2.

Electronic total energy: -5.285 eV per atom
SG: No. 160
Formation energy from raw total energies: -1835 meV per atom
Fermi-level density of states: 0.00 states/eV per cell

Lattice parameters (Å, degrees): 4.045 4.045 8.129 75.59 75.59 60.00
Atoms (fractional coordinates):
Rb: 0.498 0.498 0.505
Ho: 0.667 0.667 0.998
S: 0.064 0.064 0.808
S: 0.271 0.271 0.188


DFT (PBE) results for an optimized crystal structure of ZrTiCo.

Electronic total energy: -8.056 eV per atom
SG: No. 11
DFT formation energy: -0.2061 eV/atom
Fermi-level density of states: 12.87 states/eV per cell

Lattice parameters (Å, degrees): 5.349 6.459 6.459 75.95 75.93 75.93
Atoms (fractional coordinates):
Zr: 0.240 0.660 0.910
Zr: 0.760 0.840 0.590
Zr: 0.760 0.340 0.090
Zr: 0.240 0.160 0.410
Co: 0.067 0.442 0.692
Co: 0.067 0.942 0.192
Co: 0.933 0.558 0.308
Co: 0.933 0.058 0.808
Ti: 0.679 0.348 0.598
Ti: 0.679 0.848 0.098
Ti: 0.321 0.652 0.402
Ti: 0.321 0.152 0.902


DFT (PBE) results for an optimized crystal structure of LaCo2Pb.

Electronic total energy: -5.531 eV per atom
SG: No. 12
DFT formation energy: 0.1811 eV/atom
Fermi-level density of states: 3.17 states/eV per cell

Lattice parameters (Å, degrees): 7.481 4.699 3.490 89.66 62.68 128.73
Site moments in Bohr magnetons follow the coordinates.
Atoms (fractional coordinates):
Co: 0.000 0.000 0.000  0.89
Co: 0.500 0.000 0.500  0.89
La: 0.000 0.500 0.500  -0.16
Pb: 0.500 0.500 0.000  0.00


DFT (PBE) results for an optimized crystal structure of Sm4Er4In.

Electronic total energy: -4.500 eV per atom
SG: No. 139
DFT formation energy: -0.0704 eV/atom
Fermi-level density of states: 12.69 states/eV per cell

Lattice parameters (Å, degrees): 4.919 7.914 7.914 84.46 71.89 71.89
Atoms (fractional coordinates):
Sm: 0.662 0.676 0.000
Sm: 0.338 0.324 0.000
Sm: 0.662 0.000 0.676
Sm: 0.338 0.000 0.324
Er: 0.664 0.336 0.336
Er: 0.336 0.664 0.664
Er: 0.000 0.664 0.336
Er: 0.000 0.336 0.664
In: 0.000 0.000 0.000


DFT (PBE) results for an optimized crystal structure of NdDy4Tm7.

Electronic total energy: -4.538 eV per atom
SG: No. 2
DFT formation energy: 0.0014 eV/atom
Fermi-level density of states: 16.64 states/eV per cell

Lattice parameters (Å, degrees): 7.106 9.392 8.739 81.10 90.01 40.93
Atoms (fractional coordinates):
Nd: 0.000 0.000 0.000
Dy: 0.530 0.721 0.336
Dy: 0.470 0.279 0.664
Dy: 0.722 0.778 0.666
Dy: 0.278 0.222 0.334
Tm: 0.750 0.500 0.000
Tm: 0.250 0.500 0.000
Tm: 0.972 0.279 0.665
Tm: 0.028 0.721 0.335
Tm: 0.222 0.778 0.666
Tm: 0.500 0.000 0.000
Tm: 0.778 0.222 0.334


DFT (PBE) results for an optimized crystal structure of Cr2MoP.

Electronic total energy: -9.174 eV per atom
SG: No. 62
DFT formation energy: -0.3016 eV/atom
Fermi-level density of states: 26.87 states/eV per cell

Lattice parameters (Å, degrees): 4.775 7.126 11.884 90.00 90.00 90.00
Atoms (fractional coordinates):
Cr: 0.022 0.041 0.214
Cr: 0.522 0.959 0.286
Cr: 0.978 0.541 0.786
Cr: 0.478 0.459 0.714
Cr: 0.978 0.959 0.786
Cr: 0.478 0.041 0.714
Cr: 0.022 0.459 0.214
Cr: 0.522 0.541 0.286
Cr: 0.746 0.547 0.030
Cr: 0.246 0.453 0.470
Cr: 0.254 0.047 0.970
Cr: 0.754 0.953 0.530
Cr: 0.254 0.453 0.970
Cr: 0.754 0.547 0.530
Cr: 0.746 0.953 0.030
Cr: 0.246 0.047 0.470
Mo: 0.515 0.250 0.139
Mo: 0.015 0.750 0.361
Mo: 0.485 0.750 0.861
Mo: 0.985 0.250 0.639
Mo: 0.776 0.250 0.389
Mo: 0.276 0.750 0.111
Mo: 0.224 0.750 0.611
Mo: 0.724 0.250 0.889
P: 0.279 0.250 0.321
P: 0.779 0.750 0.179
P: 0.721 0.750 0.679
P: 0.221 0.250 0.821
P: 0.986 0.250 0.070
P: 0.486 0.750 0.430
P: 0.014 0.750 0.930
P: 0.514 0.250 0.570


DFT (PBE) results for an optimized crystal structure of TiPN3.

Electronic total energy: -8.064 eV per atom
SG: No. 12
Formation energy from raw total energies: -408 meV per atom
Fermi-level density of states: 4.01 states/eV per cell

Lattice parameters (Å, degrees): 15.834 7.882 7.882 159.00 156.92 23.08
Site moments in Bohr magnetons follow the coordinates.
Atoms (fractional coordinates):
P: 0.586 0.034 0.966  0.00
P: 0.414 0.966 0.034  0.00
N: 0.989 0.974 0.026  0.00
N: 0.011 0.026 0.974  0.00
N: 0.153 0.158 0.842  0.00
N: 0.847 0.842 0.158  0.00
N: 0.437 0.717 0.283  0.00
N: 0.563 0.283 0.717  0.00
Ti: 0.900 0.923 0.077  0.18
Ti: 0.100 0.077 0.923  0.18


DFT (PBE) results for an optimized crystal structure of SrCdAs2Pd4.

Electronic total energy: -4.607 eV per atom
SG: No. 123
DFT formation energy: -0.5238 eV/atom
Fermi-level density of states: 3.84 states/eV per cell

Lattice parameters (Å, degrees): 4.491 4.491 7.996 90.00 90.00 90.00
Atoms (fractional coordinates):
Sr: 0.000 0.000 0.500
Cd: 0.000 0.000 0.000
As: 0.500 0.500 0.336
As: 0.500 0.500 0.664
Pd: 0.000 0.500 0.199
Pd: 0.500 0.000 0.801
Pd: 0.500 0.000 0.199
Pd: 0.000 0.500 0.801


DFT (PBE) results for an optimized crystal structure of Na6TlAu.

Electronic total energy: -1.811 eV per atom
SG: No. 2
DFT formation energy: -0.1161 eV/atom
Fermi-level density of states: 2.89 states/eV per cell

Lattice parameters (Å, degrees): 8.600 8.607 6.044 44.56 44.62 59.79
Atoms (fractional coordinates):
Na: 0.996 0.497 0.763
Na: 0.744 0.997 0.762
Na: 0.501 0.255 0.238
Na: 0.256 0.003 0.238
Na: 0.004 0.503 0.237
Na: 0.499 0.745 0.762
Tl: 0.000 0.000 0.000
Au: 0.500 0.500 0.500


DFT (PBE) results for an optimized crystal structure of TiCr.

Electronic total energy: -8.370 eV per atom
SG: No. 139
DFT formation energy: 0.3896 eV/atom
Fermi-level density of states: 23.99 states/eV per cell

Lattice parameters (Å, degrees): 9.249 9.249 3.032 90.00 90.00 90.00
Atoms (fractional coordinates):
Ti: 0.181 0.500 0.000
Ti: 0.819 0.500 0.000
Ti: 0.500 0.819 0.000
Ti: 0.500 0.181 0.000
Ti: 0.681 0.000 0.500
Ti: 0.319 0.000 0.500
Ti: 0.000 0.319 0.500
Ti: 0.000 0.681 0.500
Cr: 0.813 0.813 0.000
Cr: 0.813 0.187 0.000
Cr: 0.187 0.813 0.000
Cr: 0.187 0.187 0.000
Cr: 0.313 0.313 0.500
Cr: 0.313 0.687 0.500
Cr: 0.687 0.313 0.500
Cr: 0.687 0.687 0.500